# KRbHf2C (PBE-GGA, optimized geometry)
data_KRbHf2C
_space_group_name_H-M_alt 'P 1'
_space_group_IT_number 1
_cell_length_a 5.248
_cell_length_b 6.050
_cell_length_c 5.248
_cell_angle_alpha 90.00
_cell_angle_beta 90.00
_cell_angle_gamma 90.00
loop_
_space_group_symop_operation_xyz
'x,y,z'
loop_
_atom_site_label
_atom_site_type_symbol
_atom_site_fract_x
_atom_site_fract_y
_atom_site_fract_z
_atom_site_occupancy
Rb1 Rb 0.000 0.500 0.000 1
C1 C 0.500 0.500 0.500 1
Hf1 Hf 0.000 0.000 0.500 1
Hf2 Hf 0.500 0.000 0.000 1
K1 K 0.000 0.000 0.000 1
# * energy relative to the elements: 16.69 eV/f.u.

# KHfRe2C (PBE-GGA, optimized geometry)
data_KHfRe2C
_space_group_name_H-M_alt 'P 1'
_space_group_IT_number 1
_cell_length_a 4.119
_cell_length_b 4.942
_cell_length_c 4.119
_cell_angle_alpha 90.00
_cell_angle_beta 90.00
_cell_angle_gamma 90.00
loop_
_space_group_symop_operation_xyz
'x,y,z'
loop_
_atom_site_label
_atom_site_type_symbol
_atom_site_fract_x
_atom_site_fract_y
_atom_site_fract_z
_atom_site_occupancy
Hf1 Hf 0.500 0.500 0.500 1
Re1 Re 0.000 0.000 0.500 1
Re2 Re 0.500 0.000 0.000 1
K1 K 0.000 0.500 0.000 1
C1 C 0.000 0.000 0.000 1
# * energy relative to the elements: 4.97 eV/f.u.

# K2HfSiC (PBE-GGA, optimized geometry)
data_K2HfSiC
_space_group_name_H-M_alt 'P 1'
_space_group_IT_number 1
_cell_length_a 7.179
_cell_length_b 4.952
_cell_length_c 7.179
_cell_angle_alpha 90.00
_cell_angle_beta 90.00
_cell_angle_gamma 90.00
loop_
_space_group_symop_operation_xyz
'x,y,z'
loop_
_atom_site_label
_atom_site_type_symbol
_atom_site_fract_x
_atom_site_fract_y
_atom_site_fract_z
_atom_site_occupancy
Si1 Si 0.000 0.500 0.000 1
K1 K 0.500 0.000 0.000 1
K2 K 0.000 0.000 0.500 1
Hf1 Hf 0.000 0.000 0.000 1
C1 C 0.500 0.500 0.500 1
# * energy relative to the elements, uncorrected: 2.010 eV/atom